KZrO3 after structural relaxation. Source: Alexandria via LeMat-Bulk, functional PBE.

Computed properties:
Density of states at the Fermi level: 3.72 states/eV/f.u.
Energy relative to the elements, uncorrected: 0.209 eV per atom
VASP energy: -4.6948 eV/atom
Space-group type: Pm-3m

a b c (Å): 4.1515 4.1515 4.1515
angles (deg): 90.00 90.00 90.00
Closest atoms and distances in Å follow each position.
Fractional positions:
K: 0.0000 0.0000 0.0000  6 O 2.08
O: 0.0000 0.5000 0.0000  2 K 2.08
O: 0.0000 0.0000 0.5000  2 K 2.08
O: 0.5000 0.0000 0.0000  2 K 2.08
Zr: 0.5000 0.5000 0.5000  12 O 2.94